VASP calculation (GGA-PBE) on a geometry-optimized Zn7Ag2Au2 structure.

Computed properties:
calculated volume = 174 Å³/cell
total magnetization = 0.00 μB per cell
relative energy among the computed polymorphs = 0 meV/atom
total energy = -22.29 eV for the cell shown
crystal system = triclinic

Structure (extended XYZ):
```
11
Lattice="3.8576 0.0000 0.0000 0.0238 6.3674 0.0000 1.8988 1.7766 7.0760" Properties=species:S:1:pos:R:3 pbc="T T T"
Zn 0.0000 0.0000 0.0000
Zn 1.9133 4.3243 5.8294
Zn 1.9316 6.9176 4.4993
Zn 1.9229 3.1253 3.1881
Zn 3.8573 5.0187 3.8879
Zn 3.8486 1.2264 2.5767
Zn 3.8669 3.8197 1.2465
Ag 1.9321 1.8920 0.7007
Ag 3.8481 6.2520 6.3752
Au 1.9405 5.6381 2.0358
Au 3.8397 2.5059 5.0402
```